PBE CoRe2As, optimized geometry; final energy = -8.051 eV/atom; E_form = 4.45 eV/f.u.
1.0
5.4584 0.0000 0.0000
0.0000 5.4584 0.0000
2.7292 2.7292 5.2743
As Co Re
2 2 4
Cartesian
0.0000 0.0000 0.0000
5.4584 2.7292 2.6371
2.7292 5.4584 2.6371
2.7292 2.7292 0.0000
1.5358 4.0938 1.3186
6.8230 6.6518 3.9557
4.0938 4.2650 3.9557
3.9226 1.3646 1.3186